Record 1
# Pr6YTm

An optimized crystal structure of Pr6YTm (PBE, Alexandria via LeMat-Bulk).

a b c (Å): 5.186 5.186 10.375
angles (deg): 90.00 90.00 90.00
Space group P4/mmm (No. 123)
Asymmetric unit:
Pr1 0.000 0.000 0.000 x1
Pr2 0.000 0.000 0.500 x1
Pr3 0.000 0.500 0.249 x4
Y1 0.500 0.500 0.500 x1
Tm1 0.500 0.500 0.000 x1

Output
- Calculated total energy: -4.939 eV/atom
- Relative energy among the computed polymorphs: 0 meV per atom
- ΔH_f (0 K): 12 meV/atom

Record 2
# Pr4YTm2

An optimized crystal structure of Pr4YTm2 (PBE, Alexandria via LeMat-Bulk).

a b c (Å): 12.046 24.450 6.500
angles (deg): 90.00 90.00 90.00
Space group Fdd2 (No. 43)
Asymmetric unit:
Pr1 0.052 0.071 0.000 x16
Pr2 0.070 0.144 0.529 x16
Y1 0.000 0.000 0.496 x8
Tm1 0.024 0.217 0.056 x16

Output
- Calculated total energy: -4.872 eV/atom
- Relative energy among the computed polymorphs: 0 meV per atom
- ΔH_f (0 K): 61 meV/atom

Record 3
# Pr2Y3Tm3

An optimized crystal structure of Pr2Y3Tm3 (PBE, Alexandria via LeMat-Bulk).

a b c (Å): 5.070 5.073 20.163
angles (deg): 90.00 90.00 90.00
Space group Immm (No. 71)
Asymmetric unit:
Pr1 0.000 0.000 0.250 x4
Y1 0.000 0.000 0.000 x2
Y2 0.000 0.500 0.122 x4
Tm1 0.000 0.000 0.500 x2
Tm2 0.000 0.500 0.377 x4

Output
- Calculated total energy: -5.265 eV/atom
- Relative energy among the computed polymorphs: 0 meV per atom
- ΔH_f (0 K): 30 meV/atom